[1]
Computed, not measured: a relaxed structure of KCa3Pb at the GGA-PBE level of DFT.

Values from the calculation:
E_form	0.81	eV/atom

a = 6.1283 Å, b = 6.1283 Å, c = 6.1283 Å
α = 90.00°, β = 90.00°, γ = 90.00°
Space group Pm-3m (No. 221)
Unique sites:
K  0.0000  0.0000  0.0000 (multiplicity 1)
Ca  0.0000  0.0000  0.5000 (multiplicity 3)
Pb  0.5000  0.5000  0.5000 (multiplicity 1)

[2]
Computed, not measured: a relaxed structure of K2CaPb at the GGA-PBE level of DFT.

Values from the calculation:
E_form	-0.01	eV/atom

a = 4.1497 Å, b = 6.7273 Å, c = 5.9120 Å
α = 90.00°, β = 95.75°, γ = 90.00°
Space group P2/m (No. 10)
Unique sites:
K  0.2285  0.0000  0.2702 (multiplicity 2)
Ca  0.5000  0.5000  0.0000 (multiplicity 1)
Pb  0.0000  0.5000  0.5000 (multiplicity 1)